First-principles (GGA+U) data for a relaxed Ba2NiBr2O2 crystal, as listed in Alexandria via LeMat-Bulk.

Computed properties:
volume = 320 Å³/cell
E_tot = -4.745 eV per atom

Cell lengths 4.2897, 4.2897, 17.3760 Å; angles 90.00, 90.00, 90.00 degrees
With the nearest neighbours (Å) after each atom.
Atoms (fractional coordinates):
Ba  0.0000  0.0000  0.1008  4 O 2.77
Ba  0.0000  0.0000  0.8992  4 O 2.77
Ba  0.5000  0.5000  0.3992  4 O 2.77
Ba  0.5000  0.5000  0.6008  4 O 2.77
Ni  0.0000  0.0000  0.5000  4 O 2.14
Ni  0.5000  0.5000  0.0000  4 O 2.14
Br  0.0000  0.0000  0.3247  1 Ni 3.05, 4 Ba 3.30
Br  0.0000  0.0000  0.6753  1 Ni 3.05, 4 Ba 3.30
Br  0.5000  0.5000  0.1753  1 Ni 3.05, 4 Ba 3.30
Br  0.5000  0.5000  0.8247  1 Ni 3.05, 4 Ba 3.30
O  0.0000  0.5000  0.0000  2 Ni 2.14
O  0.0000  0.5000  0.5000  2 Ni 2.14
O  0.5000  0.0000  0.0000  2 Ni 2.14
O  0.5000  0.0000  0.5000  2 Ni 2.14